Entry 1:
# ErMgCdCu (GGA-PBE, relaxed)
# ΔE_f: -0.2180 eV per atom
# Total moment: 0.00 μB/cell
# Mass density: 7.428 g/cm³
data_ErMgCdCu
_chemical_formula_sum 'Er1 Mg1 Cd1 Cu1'
_cell_length_a 4.8797
_cell_length_b 4.8797
_cell_length_c 4.8797
_cell_angle_alpha 60.00
_cell_angle_beta 60.00
_cell_angle_gamma 60.00
_symmetry_space_group_name_H-M 'P 1'
_symmetry_Int_Tables_number 1
_symmetry_space_group_name_Hall 'P 1'
loop_
_atom_site_label
_atom_site_fract_x
_atom_site_fract_y
_atom_site_fract_z
Er1 0.0000 0.0000 0.0000
Mg1 0.5000 0.5000 0.5000
Cd1 0.2500 0.2500 0.2500
Cu1 0.7500 0.7500 0.7500

=====

Entry 2:
# ErCdCuNi (GGA-PBE, relaxed)
# ΔE_f: -0.2201 eV per atom
# Total moment: 0.00 μB/cell
# Mass density: 9.543 g/cm³
data_ErCdCuNi
_chemical_formula_sum 'Er1 Cd1 Cu1 Ni1'
_cell_length_a 4.6245
_cell_length_b 4.6245
_cell_length_c 4.6245
_cell_angle_alpha 60.00
_cell_angle_beta 60.00
_cell_angle_gamma 60.00
_symmetry_space_group_name_H-M 'P 1'
_symmetry_Int_Tables_number 1
_symmetry_space_group_name_Hall 'P 1'
loop_
_atom_site_label
_atom_site_fract_x
_atom_site_fract_y
_atom_site_fract_z
Er1 0.0000 0.0000 0.0000
Cd1 0.5000 0.5000 0.5000
Cu1 0.2500 0.2500 0.2500
Ni1 0.7500 0.7500 0.7500

=====

Entry 3:
# Er2CdCu12Ni3 (GGA-PBE, relaxed)
# ΔE_f: 0.0477 eV per atom
# Total moment: 0.00 μB/cell
# Mass density: 8.916 g/cm³
data_Er2CdCu12Ni3
_chemical_formula_sum 'Er2 Cd1 Cu12 Ni3'
_cell_length_a 6.4057
_cell_length_b 6.4057
_cell_length_c 6.4057
_cell_angle_alpha 83.44
_cell_angle_beta 83.44
_cell_angle_gamma 83.44
_symmetry_space_group_name_H-M 'P 1'
_symmetry_Int_Tables_number 1
_symmetry_space_group_name_Hall 'P 1'
loop_
_atom_site_label
_atom_site_fract_x
_atom_site_fract_y
_atom_site_fract_z
Er1 0.2419 0.2419 0.2419
Er2 0.7581 0.7581 0.7581
Cd1 0.5000 0.5000 0.5000
Cu1 0.0813 0.0813 0.6416
Cu2 0.0813 0.6416 0.0813
Cu3 0.2034 0.7045 0.7045
Cu4 0.2955 0.2955 0.7966
Cu5 0.2955 0.7966 0.2955
Cu6 0.3584 0.9187 0.9187
Cu7 0.6416 0.0813 0.0813
Cu8 0.7045 0.2034 0.7045
Cu9 0.7045 0.7045 0.2034
Cu10 0.7966 0.2955 0.2955
Cu11 0.9187 0.3584 0.9187
Cu12 0.9187 0.9187 0.3584
Ni1 0.0000 0.5000 0.5000
Ni2 0.5000 0.0000 0.5000
Ni3 0.5000 0.5000 0.0000

=====

Entry 4:
# Er4CdCu2Pd (GGA-PBE, relaxed)
# ΔE_f: -0.4335 eV per atom
# Total moment: 0.00 μB/cell
# Mass density: 9.630 g/cm³
data_Er4CdCu2Pd
_chemical_formula_sum 'Er4 Cd1 Cu2 Pd1'
_cell_length_a 8.6359
_cell_length_b 8.6359
_cell_length_c 8.6359
_cell_angle_alpha 33.53
_cell_angle_beta 33.53
_cell_angle_gamma 33.53
_symmetry_space_group_name_H-M 'P 1'
_symmetry_Int_Tables_number 1
_symmetry_space_group_name_Hall 'P 1'
loop_
_atom_site_label
_atom_site_fract_x
_atom_site_fract_y
_atom_site_fract_z
Er1 0.1196 0.1196 0.1196
Er2 0.3708 0.3708 0.3708
Er3 0.6292 0.6292 0.6292
Er4 0.8804 0.8804 0.8804
Cd1 0.5000 0.5000 0.5000
Cu1 0.2442 0.2442 0.2442
Cu2 0.7558 0.7558 0.7558
Pd1 0.0000 0.0000 0.0000

=====

Entry 5:
# PrErCdCu (GGA-PBE, relaxed)
# ΔE_f: -0.1943 eV per atom
# Total moment: 0.00 μB/cell
# Mass density: 8.054 g/cm³
data_PrErCdCu
_chemical_formula_sum 'Pr1 Er1 Cd1 Cu1'
_cell_length_a 5.2069
_cell_length_b 5.2069
_cell_length_c 5.2069
_cell_angle_alpha 60.00
_cell_angle_beta 60.00
_cell_angle_gamma 60.00
_symmetry_space_group_name_H-M 'P 1'
_symmetry_Int_Tables_number 1
_symmetry_space_group_name_Hall 'P 1'
loop_
_atom_site_label
_atom_site_fract_x
_atom_site_fract_y
_atom_site_fract_z
Pr1 0.0000 0.0000 0.0000
Er1 0.5000 0.5000 0.5000
Cd1 0.7500 0.7500 0.7500
Cu1 0.2500 0.2500 0.2500

=====

Entry 6:
# ErCdCuPt (GGA-PBE, relaxed)
# ΔE_f: -0.5623 eV per atom
# Total moment: 0.00 μB/cell
# Mass density: 11.852 g/cm³
data_ErCdCuPt
_chemical_formula_sum 'Er1 Cd1 Cu1 Pt1'
_cell_length_a 4.7424
_cell_length_b 4.7424
_cell_length_c 4.7424
_cell_angle_alpha 60.00
_cell_angle_beta 60.00
_cell_angle_gamma 60.00
_symmetry_space_group_name_H-M 'P 1'
_symmetry_Int_Tables_number 1
_symmetry_space_group_name_Hall 'P 1'
loop_
_atom_site_label
_atom_site_fract_x
_atom_site_fract_y
_atom_site_fract_z
Er1 0.0000 0.0000 0.0000
Cd1 0.5000 0.5000 0.5000
Cu1 0.7500 0.7500 0.7500
Pt1 0.2500 0.2500 0.2500

=====

Entry 7:
# ErPuCdCu (GGA-PBE, relaxed)
# ΔE_f: -0.0035 eV per atom
# Total moment: 5.93 μB/cell
# Mass density: 10.226 g/cm³
data_ErPuCdCu
_chemical_formula_sum 'Er1 Pu1 Cd1 Cu1'
_cell_length_a 5.1281
_cell_length_b 5.1281
_cell_length_c 5.1281
_cell_angle_alpha 60.00
_cell_angle_beta 60.00
_cell_angle_gamma 60.00
_symmetry_space_group_name_H-M 'P 1'
_symmetry_Int_Tables_number 1
_symmetry_space_group_name_Hall 'P 1'
loop_
_atom_site_label
_atom_site_fract_x
_atom_site_fract_y
_atom_site_fract_z
Er1 0.0000 0.0000 0.0000
Pu1 0.5000 0.5000 0.5000
Cd1 0.2500 0.2500 0.2500
Cu1 0.7500 0.7500 0.7500

=====

Entry 8:
# Er4CdCuRh2 (GGA-PBE, relaxed)
# ΔE_f: -0.5798 eV per atom
# Total moment: 0.00 μB/cell
# Mass density: 10.322 g/cm³
data_Er4CdCuRh2
_chemical_formula_sum 'Er4 Cd1 Cu1 Rh2'
_cell_length_a 8.5323
_cell_length_b 8.5323
_cell_length_c 8.5323
_cell_angle_alpha 33.56
_cell_angle_beta 33.56
_cell_angle_gamma 33.56
_symmetry_space_group_name_H-M 'P 1'
_symmetry_Int_Tables_number 1
_symmetry_space_group_name_Hall 'P 1'
loop_
_atom_site_label
_atom_site_fract_x
_atom_site_fract_y
_atom_site_fract_z
Er1 0.1198 0.1198 0.1198
Er2 0.3707 0.3707 0.3707
Er3 0.6293 0.6293 0.6293
Er4 0.8802 0.8802 0.8802
Cd1 0.5000 0.5000 0.5000
Cu1 0.0000 0.0000 0.0000
Rh1 0.2488 0.2488 0.2488
Rh2 0.7512 0.7512 0.7512

=====

Entry 9:
# ErCdCuRh (GGA-PBE, relaxed)
# ΔE_f: -0.3809 eV per atom
# Total moment: 0.00 μB/cell
# Mass density: 10.124 g/cm³
data_ErCdCuRh
_chemical_formula_sum 'Er1 Cd1 Cu1 Rh1'
_cell_length_a 4.6948
_cell_length_b 4.6948
_cell_length_c 4.6948
_cell_angle_alpha 60.00
_cell_angle_beta 60.00
_cell_angle_gamma 60.00
_symmetry_space_group_name_H-M 'P 1'
_symmetry_Int_Tables_number 1
_symmetry_space_group_name_Hall 'P 1'
loop_
_atom_site_label
_atom_site_fract_x
_atom_site_fract_y
_atom_site_fract_z
Er1 0.0000 0.0000 0.0000
Cd1 0.5000 0.5000 0.5000
Cu1 0.7500 0.7500 0.7500
Rh1 0.2500 0.2500 0.2500

=====

Entry 10:
# ErCdCuRu (GGA-PBE, relaxed)
# ΔE_f: -0.0690 eV per atom
# Total moment: 0.00 μB/cell
# Mass density: 10.165 g/cm³
data_ErCdCuRu
_chemical_formula_sum 'Er1 Cd1 Cu1 Ru1'
_cell_length_a 4.6820
_cell_length_b 4.6820
_cell_length_c 4.6820
_cell_angle_alpha 60.00
_cell_angle_beta 60.00
_cell_angle_gamma 60.00
_symmetry_space_group_name_H-M 'P 1'
_symmetry_Int_Tables_number 1
_symmetry_space_group_name_Hall 'P 1'
loop_
_atom_site_label
_atom_site_fract_x
_atom_site_fract_y
_atom_site_fract_z
Er1 0.0000 0.0000 0.0000
Cd1 0.5000 0.5000 0.5000
Cu1 0.2500 0.2500 0.2500
Ru1 0.7500 0.7500 0.7500

=====

Entry 11:
# Er4CdCuRu2 (GGA-PBE, relaxed)
# ΔE_f: -0.3480 eV per atom
# Total moment: 0.00 μB/cell
# Mass density: 10.431 g/cm³
data_Er4CdCuRu2
_chemical_formula_sum 'Er4 Cd1 Cu1 Ru2'
_cell_length_a 8.5001
_cell_length_b 8.5001
_cell_length_c 8.5001
_cell_angle_alpha 33.51
_cell_angle_beta 33.51
_cell_angle_gamma 33.51
_symmetry_space_group_name_H-M 'P 1'
_symmetry_Int_Tables_number 1
_symmetry_space_group_name_Hall 'P 1'
loop_
_atom_site_label
_atom_site_fract_x
_atom_site_fract_y
_atom_site_fract_z
Er1 0.1203 0.1203 0.1203
Er2 0.3713 0.3713 0.3713
Er3 0.6287 0.6287 0.6287
Er4 0.8797 0.8797 0.8797
Cd1 0.5000 0.5000 0.5000
Cu1 0.0000 0.0000 0.0000
Ru1 0.2493 0.2493 0.2493
Ru2 0.7507 0.7507 0.7507

=====

Entry 12:
# ErScCdCu (GGA-PBE, relaxed)
# ΔE_f: -0.2805 eV per atom
# Total moment: 0.00 μB/cell
# E above lowest polymorph: 0.000 eV/atom
# Mass density: 7.560 g/cm³
data_ErScCdCu
_chemical_formula_sum 'Er1 Sc1 Cd1 Cu1'
_cell_length_a 3.3822
_cell_length_b 3.3822
_cell_length_c 7.4531
_cell_angle_alpha 90.00
_cell_angle_beta 90.00
_cell_angle_gamma 90.00
_symmetry_space_group_name_H-M 'P 1'
_symmetry_Int_Tables_number 1
_symmetry_space_group_name_Hall 'P 1'
loop_
_atom_site_label
_atom_site_fract_x
_atom_site_fract_y
_atom_site_fract_z
Er1 0.0000 0.0000 0.0000
Sc1 0.0000 0.0000 0.5610
Cd1 0.5000 0.5000 0.2963
Cu1 0.5000 0.5000 0.7590

=====

Entry 13:
# ErScCdCu (GGA-PBE, relaxed)
# ΔE_f: -0.2171 eV per atom
# Total moment: 0.00 μB/cell
# E above lowest polymorph: 0.063 eV/atom
# Mass density: 7.484 g/cm³
data_ErScCdCu
_chemical_formula_sum 'Er1 Sc1 Cd1 Cu1'
_cell_length_a 4.9571
_cell_length_b 4.9571
_cell_length_c 4.9571
_cell_angle_alpha 60.00
_cell_angle_beta 60.00
_cell_angle_gamma 60.00
_symmetry_space_group_name_H-M 'P 1'
_symmetry_Int_Tables_number 1
_symmetry_space_group_name_Hall 'P 1'
loop_
_atom_site_label
_atom_site_fract_x
_atom_site_fract_y
_atom_site_fract_z
Er1 0.0000 0.0000 0.0000
Sc1 0.5000 0.5000 0.5000
Cd1 0.2500 0.2500 0.2500
Cu1 0.7500 0.7500 0.7500

=====

Entry 14:
# SmErCdCu (GGA-PBE, relaxed)
# ΔE_f: -0.2157 eV per atom
# Total moment: 0.00 μB/cell
# Mass density: 8.482 g/cm³
data_SmErCdCu
_chemical_formula_sum 'Sm1 Er1 Cd1 Cu1'
_cell_length_a 5.1508
_cell_length_b 5.1508
_cell_length_c 5.1508
_cell_angle_alpha 60.00
_cell_angle_beta 60.00
_cell_angle_gamma 60.00
_symmetry_space_group_name_H-M 'P 1'
_symmetry_Int_Tables_number 1
_symmetry_space_group_name_Hall 'P 1'
loop_
_atom_site_label
_atom_site_fract_x
_atom_site_fract_y
_atom_site_fract_z
Sm1 0.0000 0.0000 0.0000
Er1 0.5000 0.5000 0.5000
Cd1 0.7500 0.7500 0.7500
Cu1 0.2500 0.2500 0.2500

=====

Entry 15:
# ErThCdCu (GGA-PBE, relaxed)
# ΔE_f: -0.0833 eV per atom
# Total moment: 0.75 μB/cell
# Mass density: 9.655 g/cm³
data_ErThCdCu
_chemical_formula_sum 'Er1 Th1 Cd1 Cu1'
_cell_length_a 5.1915
_cell_length_b 5.1915
_cell_length_c 5.1915
_cell_angle_alpha 60.00
_cell_angle_beta 60.00
_cell_angle_gamma 60.00
_symmetry_space_group_name_H-M 'P 1'
_symmetry_Int_Tables_number 1
_symmetry_space_group_name_Hall 'P 1'
loop_
_atom_site_label
_atom_site_fract_x
_atom_site_fract_y
_atom_site_fract_z
Er1 0.0000 0.0000 0.0000
Th1 0.5000 0.5000 0.5000
Cd1 0.2500 0.2500 0.2500
Cu1 0.7500 0.7500 0.7500

=====

Entry 16:
# ErTlCdCu (GGA-PBE, relaxed)
# ΔE_f: -0.1034 eV per atom
# Total moment: 0.00 μB/cell
# Mass density: 10.521 g/cm³
data_ErTlCdCu
_chemical_formula_sum 'Er1 Tl1 Cd1 Cu1'
_cell_length_a 4.9628
_cell_length_b 4.9628
_cell_length_c 4.9628
_cell_angle_alpha 60.00
_cell_angle_beta 60.00
_cell_angle_gamma 60.00
_symmetry_space_group_name_H-M 'P 1'
_symmetry_Int_Tables_number 1
_symmetry_space_group_name_Hall 'P 1'
loop_
_atom_site_label
_atom_site_fract_x
_atom_site_fract_y
_atom_site_fract_z
Er1 0.0000 0.0000 0.0000
Tl1 0.2500 0.2500 0.2500
Cd1 0.5000 0.5000 0.5000
Cu1 0.7500 0.7500 0.7500

=====

Entry 17:
# Er2Zn12CdCu3 (GGA-PBE, relaxed)
# ΔE_f: 0.2474 eV per atom
# Total moment: 0.00 μB/cell
# Mass density: 6.096 g/cm³
data_Er2Zn12CdCu3
_chemical_formula_sum 'Er2 Zn12 Cd1 Cu3'
_cell_length_a 8.0991
_cell_length_b 8.0991
_cell_length_c 8.0991
_cell_angle_alpha 61.40
_cell_angle_beta 61.40
_cell_angle_gamma 61.40
_symmetry_space_group_name_H-M 'P 1'
_symmetry_Int_Tables_number 1
_symmetry_space_group_name_Hall 'P 1'
loop_
_atom_site_label
_atom_site_fract_x
_atom_site_fract_y
_atom_site_fract_z
Er1 0.0896 0.0896 0.0896
Er2 0.9104 0.9104 0.9104
Zn1 0.0290 0.6659 0.6659
Zn2 0.1630 0.1630 0.6380
Zn3 0.1630 0.6380 0.1630
Zn4 0.3341 0.3341 0.9710
Zn5 0.3341 0.9710 0.3341
Zn6 0.3620 0.8370 0.8370
Zn7 0.6380 0.1630 0.1630
Zn8 0.6659 0.0290 0.6659
Zn9 0.6659 0.6659 0.0290
Zn10 0.8370 0.3620 0.8370
Zn11 0.8370 0.8370 0.3620
Zn12 0.9710 0.3341 0.3341
Cd1 0.5000 0.5000 0.5000
Cu1 0.0000 0.5000 0.5000
Cu2 0.5000 0.0000 0.5000
Cu3 0.5000 0.5000 0.0000

=====

Entry 18:
# Er4Zn2CdCu (GGA-PBE, relaxed)
# ΔE_f: -0.3098 eV per atom
# Total moment: 0.00 μB/cell
# Mass density: 8.977 g/cm³
data_Er4Zn2CdCu
_chemical_formula_sum 'Er4 Zn2 Cd1 Cu1'
_cell_length_a 8.6934
_cell_length_b 8.6934
_cell_length_c 8.6934
_cell_angle_alpha 33.73
_cell_angle_beta 33.73
_cell_angle_gamma 33.73
_symmetry_space_group_name_H-M 'P 1'
_symmetry_Int_Tables_number 1
_symmetry_space_group_name_Hall 'P 1'
loop_
_atom_site_label
_atom_site_fract_x
_atom_site_fract_y
_atom_site_fract_z
Er1 0.1189 0.1189 0.1189
Er2 0.3698 0.3698 0.3698
Er3 0.6302 0.6302 0.6302
Er4 0.8811 0.8811 0.8811
Zn1 0.2461 0.2461 0.2461
Zn2 0.7539 0.7539 0.7539
Cd1 0.5000 0.5000 0.5000
Cu1 0.0000 0.0000 0.0000

=====

Entry 19:
# ErZnCdCu (GGA-PBE, relaxed)
# ΔE_f: -0.2648 eV per atom
# Total moment: 0.00 μB/cell
# Mass density: 9.105 g/cm³
data_ErZnCdCu
_chemical_formula_sum 'Er1 Zn1 Cd1 Cu1'
_cell_length_a 4.7236
_cell_length_b 4.7236
_cell_length_c 4.7236
_cell_angle_alpha 60.00
_cell_angle_beta 60.00
_cell_angle_gamma 60.00
_symmetry_space_group_name_H-M 'P 1'
_symmetry_Int_Tables_number 1
_symmetry_space_group_name_Hall 'P 1'
loop_
_atom_site_label
_atom_site_fract_x
_atom_site_fract_y
_atom_site_fract_z
Er1 0.0000 0.0000 0.0000
Zn1 0.2500 0.2500 0.2500
Cd1 0.5000 0.5000 0.5000
Cu1 0.7500 0.7500 0.7500

=====

Entry 20:
# EuCdCu (GGA-PBE, relaxed)
# ΔE_f: -0.1755 eV per atom
# Total moment: 7.18 μB/cell
# Mass density: 7.387 g/cm³
data_EuCdCu
_chemical_formula_sum 'Eu1 Cd1 Cu1'
_cell_length_a 4.7176
_cell_length_b 4.7176
_cell_length_c 3.8245
_cell_angle_alpha 90.00
_cell_angle_beta 90.00
_cell_angle_gamma 120.00
_symmetry_space_group_name_H-M 'P 1'
_symmetry_Int_Tables_number 1
_symmetry_space_group_name_Hall 'P 1'
loop_
_atom_site_label
_atom_site_fract_x
_atom_site_fract_y
_atom_site_fract_z
Eu1 0.0000 0.0000 0.0000
Cd1 0.6667 0.3333 0.5000
Cu1 0.3333 0.6667 0.5000